Entry 1:
The following is a DFT calculation (PBE) of a geometry-optimized LaTaInB2 structure.

Cell: 4.6852 4.6852 5.4104 Å, 90.00 90.00 90.00°
Space group P4/mmm (No. 123)
Unique sites:
1 La 0.0000 0.0000 0.0000
2 Ta 0.0000 0.0000 0.5000
3 In 0.5000 0.5000 0.5000
4 B 0.0000 0.5000 0.0000

Formation enthalpy at 0 K (eV per atom): 2.279
Total energy (eV for the cell shown): -21.5
M_tot (μB/f.u.): 0.63



Entry 2:
The following is a DFT calculation (PBE) of a geometry-optimized CaLaCu3 structure.

Cell: 5.0048 5.0048 5.0048 Å, 90.00 90.00 90.00°
Space group Pm-3m (No. 221)
Unique sites:
1 Ca 0.0000 0.0000 0.0000
2 La 0.5000 0.5000 0.5000
3 Cu 0.0000 0.0000 0.5000

Formation enthalpy at 0 K (eV per atom): 0.526
Total energy (eV for the cell shown): -16.6
M_tot (μB/f.u.): 0.00
ΔE to the lowest computed polymorph (meV per atom): 713



Q: What is the M_tot in the second record?
A: 0.00 μB/f.u.



Q: What is the formula in the second record?
A: CaLaCu3